Computed, not measured: a geometry-optimized NiH2C2N4 structure at the PBE level of DFT.

Its crystal system is orthorhombic. Its uncorrected energy is -6.99 eV per atom.

The structure belongs to space group Pnnm (No. 58); the cell edges are 6.593, 8.644 and 3.299 Å and the angles 90.00°, 90.00° and 90.00°. Symmetry generates all atoms from Ni at (0.000, 0.000, 0.000), H at (0.202, 0.437, 0.000), C at (0.178, 0.662, 0.000), N at (0.091, 0.781, 0.000) and N at (0.212, 0.036, 0.500).